1.
# Mg2ZrCl

An optimized crystal structure of Mg2ZrCl (PBE, Alexandria).

As for the space group: No. 44. Its formation energy without anion corrections is -0.27 eV/atom. As for the energy above the most stable polymorph in this dataset: 194 meV per atom.

a = 6.267 Å, b = 6.267 Å, c = 6.267 Å
α = 150.72°, β = 127.90°, γ = 60.89°
Element x y z (fractional)
Zr 0.472 0.472 0.000
Mg 0.726 0.226 0.500
Cl 0.282 0.782 0.500
Mg 0.020 0.020 0.000

=====

2.
# MgZrCl2

An optimized crystal structure of MgZrCl2 (PBE, Alexandria).

As for the space group: No. 12. Its formation energy without anion corrections is -0.88 eV/atom. As for the energy above the most stable polymorph in this dataset: 162 meV per atom.

a = 6.483 Å, b = 6.483 Å, c = 5.589 Å
α = 72.84°, β = 72.84°, γ = 28.40°
Element x y z (fractional)
Cl 0.917 0.917 0.052
Cl 0.583 0.583 0.448
Zr 0.250 0.250 0.250
Mg 0.750 0.750 0.750

=====

3.
# Mg2ZrCl

An optimized crystal structure of Mg2ZrCl (PBE, Alexandria).

As for the space group: No. 35. Its formation energy without anion corrections is -0.36 eV/atom. As for the energy above the most stable polymorph in this dataset: 102 meV per atom.

a = 3.171 Å, b = 3.171 Å, c = 9.713 Å
α = 90.00°, β = 90.00°, γ = 109.59°
Element x y z (fractional)
Mg 0.000 0.000 0.014
Zr 0.000 0.000 0.510
Mg 0.500 0.500 0.266
Cl 0.500 0.500 0.710

=====

4.
# Mg3ZrCl

An optimized crystal structure of Mg3ZrCl (PBE, Alexandria).

As for the space group: No. 221. Its formation energy without anion corrections is 0.22 eV/atom. As for the energy above the most stable polymorph in this dataset: 0 meV per atom.

a = 4.951 Å, b = 4.951 Å, c = 4.951 Å
α = 90.00°, β = 90.00°, γ = 90.00°
Element x y z (fractional)
Mg 0.000 0.500 0.000
Zr 0.500 0.500 0.500
Mg 0.500 0.000 0.000
Cl 0.000 0.000 0.000
Mg 0.000 0.000 0.500

=====

5.
# MgZrCl2

An optimized crystal structure of MgZrCl2 (PBE, Alexandria).

As for the space group: No. 216. Its formation energy without anion corrections is 0.03 eV/atom. As for the energy above the most stable polymorph in this dataset: 1070 meV per atom.

a = 5.057 Å, b = 5.057 Å, c = 5.057 Å
α = 60.00°, β = 60.00°, γ = 60.00°
Element x y z (fractional)
Cl 0.000 0.000 0.000
Zr 0.750 0.750 0.750
Mg 0.500 0.500 0.500
Cl 0.250 0.250 0.250

=====

6.
# MgZrCl2

An optimized crystal structure of MgZrCl2 (PBE, Alexandria).

As for the space group: No. 123. Its formation energy without anion corrections is -0.82 eV/atom. As for the energy above the most stable polymorph in this dataset: 224 meV per atom.

a = 3.195 Å, b = 3.196 Å, c = 9.833 Å
α = 90.00°, β = 90.00°, γ = 90.00°
Element x y z (fractional)
Cl 0.000 0.000 0.591
Cl 0.000 0.000 0.909
Zr 0.500 0.500 0.750
Mg 0.500 0.500 0.250